DFT (PBE with a Hubbard U) results for a relaxed structure of CaV3F.

Its total magnetization is 13.4 Bohr magnetons per cell. For the total DFT energy (no corrections), the calculation gives -3.2998 eV/atom. The calculated volume is 186 Å³/cell.

The structure belongs to space group Pm-3m (No. 221); the cell edges are 5.7043, 5.7043 and 5.7043 Å and the angles 90.00°, 90.00° and 90.00°. The distinct sites, in fractional coordinates, are Ca at (0.0000, 0.0000, 0.0000), V at (0.0000, 0.0000, 0.5000) and F at (0.5000, 0.5000, 0.5000).